# 1
Compound: CoHS2
Source: the Alexandria database
Functional: PBE
Structure: relaxed

* density of states at the Fermi level: 2.737 states/eV/f.u.
* energy relative to the lowest polymorph listed for this composition: 413 meV/atom
* spin magnetization: 0.00 μB per formula unit

Cell lengths 4.820, 4.820, 9.302 Å; angles 90.00, 90.00, 90.00 degrees
Space group I-42d (No. 122)
Symmetry-distinct sites (fractional):
Co (0.000, 0.000, 0.000) (multiplicity 4)
H (0.000, 0.000, 0.500) (multiplicity 4)
S (0.236, 0.250, 0.625) (multiplicity 8)

***

# 2
Compound: MnFeAg2
Source: the Alexandria database
Functional: PBE
Structure: relaxed

* energy of formation: 0.40 eV/atom
* density of states at the Fermi level: 3.784 states/eV/f.u.
* energy relative to the lowest polymorph listed for this composition: 146 meV/atom
* spin magnetization: 6.51 μB per formula unit

Cell lengths 9.434, 2.782, 4.848 Å; angles 90.00, 99.87, 90.00 degrees
Space group C2/m (No. 12)
Symmetry-distinct sites (fractional):
Mn (0.000, 0.000, 0.000) (multiplicity 2)
Fe (0.000, 0.500, 0.500) (multiplicity 2)
Ag (0.247, 0.000, 0.747) (multiplicity 4)

***

# 3
Compound: La6TbPr4
Source: the Alexandria database
Functional: PBE
Structure: relaxed

* energy of formation: 0.23 eV/atom
* density of states at the Fermi level: 17.758 states/eV/f.u.
* energy relative to the lowest polymorph listed for this composition: 0 meV/atom
* spin magnetization: 0.00 μB per formula unit

Cell lengths 6.878, 6.878, 16.861 Å; angles 90.00, 90.00, 90.00 degrees
Space group I-42m (No. 121)
Symmetry-distinct sites (fractional):
La (0.000, 0.500, 0.000) (multiplicity 4)
La (0.159, 0.159, 0.116) (multiplicity 8)
Tb (0.000, 0.000, 0.500) (multiplicity 2)
Pr (0.181, 0.181, 0.316) (multiplicity 8)

***

# 4
Compound: NaTb2Ga
Source: the Alexandria database
Functional: PBE
Structure: relaxed

* energy of formation: -0.16 eV/atom
* density of states at the Fermi level: 3.160 states/eV/f.u.
* energy relative to the lowest polymorph listed for this composition: 0 meV/atom
* spin magnetization: 0.00 μB per formula unit

Cell lengths 3.511, 3.511, 9.220 Å; angles 90.00, 90.00, 90.00 degrees
Space group P4/mmm (No. 123)
Symmetry-distinct sites (fractional):
Na (0.000, 0.000, 0.000) (multiplicity 1)
Tb (0.500, 0.500, 0.303) (multiplicity 2)
Ga (0.000, 0.000, 0.500) (multiplicity 1)

***

# 5
Compound: TaRu2Au
Source: the Alexandria database
Functional: PBE
Structure: relaxed

* energy of formation: -0.03 eV/atom
* density of states at the Fermi level: 5.043 states/eV/f.u.
* energy relative to the lowest polymorph listed for this composition: 124 meV/atom
* spin magnetization: 0.00 μB per formula unit

Cell lengths 3.252, 3.252, 6.082 Å; angles 90.00, 90.00, 90.00 degrees
Space group P4/mmm (No. 123)
Symmetry-distinct sites (fractional):
Ta (0.000, 0.000, 0.000) (multiplicity 1)
Ru (0.500, 0.500, 0.232) (multiplicity 2)
Au (0.000, 0.000, 0.500) (multiplicity 1)

***

# 6
Compound: Mg3TaAs
Source: the Alexandria database
Functional: PBE
Structure: relaxed

* energy of formation: 0.81 eV/atom
* density of states at the Fermi level: 5.198 states/eV/f.u.
* energy relative to the lowest polymorph listed for this composition: 0 meV/atom
* spin magnetization: 2.41 μB per formula unit

Cell lengths 4.947, 4.947, 4.947 Å; angles 90.00, 90.00, 90.00 degrees
Space group Pm-3m (No. 221)
Symmetry-distinct sites (fractional):
Mg (0.000, 0.000, 0.500) (multiplicity 3)
Ta (0.500, 0.500, 0.500) (multiplicity 1)
As (0.000, 0.000, 0.000) (multiplicity 1)

***

# 7
Compound: AlRe2Ir
Source: the Alexandria database
Functional: PBE
Structure: relaxed

* energy of formation: -0.18 eV/atom
* density of states at the Fermi level: 3.637 states/eV/f.u.
* spin magnetization: 0.00 μB per formula unit

Cell lengths 2.8050, 2.8050, 25.9122 Å; angles 90.00, 90.00, 120.00 degrees
Space group R3m (No. 160, hexagonal axes)
Symmetry-distinct sites (fractional):
Al (0.0000, 0.0000, 0.0000) (multiplicity 3)
Re (0.0000, 0.0000, 0.2485) (multiplicity 3)
Re (0.0000, 0.0000, 0.4993) (multiplicity 3)
Ir (0.0000, 0.0000, 0.7467) (multiplicity 3)

***

# 8
Compound: SrTaAs4
Source: the Alexandria database
Functional: PBE
Structure: relaxed

* energy of formation: 0.36 eV/atom
* density of states at the Fermi level: 3.909 states/eV/f.u.
* spin magnetization: 0.99 μB per formula unit

Cell lengths 8.018, 8.018, 8.018 Å; angles 90.00, 90.00, 90.00 degrees
Space group F-43m (No. 216)
Symmetry-distinct sites (fractional):
Sr (0.000, 0.000, 0.000) (multiplicity 4)
Ta (0.250, 0.250, 0.750) (multiplicity 4)
As (0.123, 0.123, 0.377) (multiplicity 16)